# PBE-GGA SrZn6Au3, relaxed
# Total magnetic moment in μB/f.u.: 0.0
# E_form in eV per atom: -0.2586
# Density in g cm⁻³: 9.52
# N(E_F) in states/eV/atom: 0.378
# Crystal system: monoclinic
data_SrZn6Au3
_chemical_formula_sum 'Sr2 Zn12 Au6'
_space_group_name_H-M_alt 'P 1 21/c 1'
_space_group_IT_number 14
_space_group_name_Hall '-P 2ybc'
_cell_length_a 6.778
_cell_length_b 7.196
_cell_length_c 8.714
_cell_angle_alpha 90.00
_cell_angle_beta 118.52
_cell_angle_gamma 90.00
loop_
_atom_site_label
_atom_site_type_symbol
_atom_site_fract_x
_atom_site_fract_y
_atom_site_fract_z
Sr1 Sr 0.000 0.000 0.000
Zn1 Zn 0.156 0.007 0.666
Zn2 Zn 0.255 0.686 0.901
Zn3 Zn 0.496 0.245 0.252
Au1 Au 0.222 0.172 0.392
Au2 Au 0.500 0.000 0.000